Entry 1:
The following is a DFT calculation (PBE) of CeCrFe4 after structural relaxation.

The structure in POSCAR format:
```
CeCrFe4
1.0
0.0000 3.4951 3.4951
3.4951 0.0000 3.4951
3.4951 3.4951 0.0000
Ce Cr Fe
1 1 4
Direct
0.0000 0.0000 0.0000
0.7500 0.7500 0.7500
0.3761 0.3761 0.3761
0.3761 0.3761 0.8717
0.3761 0.8717 0.3761
0.8717 0.3761 0.3761
```

Values from the calculation:
E_form: 0.182 eV per atom


Entry 2:
The following is a DFT calculation (PBE) of CeCrFeP2 after structural relaxation.

The structure in POSCAR format:
```
CeCrFeP2
1.0
-1.9639 1.9639 4.8747
1.9639 -1.9639 4.8747
1.9639 1.9639 -4.8747
Ce Cr Fe P
1 1 1 2
Direct
0.0000 0.0000 0.0000
0.2500 0.7500 0.5000
0.7500 0.2500 0.5000
0.3635 0.3635 0.0000
0.6365 0.6365 0.0000
```

Values from the calculation:
E_form: -0.877 eV per atom


Entry 3:
The following is a DFT calculation (PBE) of Ce4CrGa12 after structural relaxation.

The structure in POSCAR format:
```
Ce4CrGa12
1.0
-4.3666 4.3666 4.3666
4.3666 -4.3666 4.3666
4.3666 4.3666 -4.3666
Ce Cr Ga
4 1 12
Direct
0.0000 0.0000 0.5000
0.0000 0.5000 0.0000
0.5000 0.0000 0.0000
0.5000 0.5000 0.5000
0.0000 0.0000 0.0000
0.0000 0.2920 0.2920
0.0000 0.7080 0.7080
0.2500 0.5000 0.7500
0.2500 0.7500 0.5000
0.2920 0.0000 0.2920
0.2920 0.2920 0.0000
0.5000 0.2500 0.7500
0.5000 0.7500 0.2500
0.7080 0.0000 0.7080
0.7080 0.7080 0.0000
0.7500 0.2500 0.5000
0.7500 0.5000 0.2500
```

Values from the calculation:
E_form: -0.502 eV per atom


Entry 4:
The following is a DFT calculation (PBE) of Ce2CrGa12 after structural relaxation.

The structure in POSCAR format:
```
Ce2CrGa12
1.0
6.0199 0.0000 0.0000
0.0000 6.0199 0.0000
0.0000 0.0000 15.9220
Ce Cr Ga
4 2 24
Direct
0.2500 0.7500 0.2477
0.2500 0.7500 0.7523
0.7500 0.2500 0.2477
0.7500 0.2500 0.7523
0.2500 0.7500 0.0000
0.7500 0.2500 0.0000
0.0002 0.9998 0.0919
0.9998 0.0002 0.9081
0.9998 0.4998 0.0919
0.0002 0.5002 0.9081
0.0797 0.5797 0.4309
0.0797 0.9203 0.5691
0.2500 0.2500 0.1923
0.2500 0.2500 0.3454
0.2500 0.2500 0.6546
0.2500 0.2500 0.8077
0.4203 0.5797 0.5691
0.4203 0.9203 0.4309
0.5002 0.0002 0.0919
0.4998 0.9998 0.9081
0.4998 0.5002 0.0919
0.5002 0.4998 0.9081
0.5797 0.0797 0.5691
0.5797 0.4203 0.4309
0.7500 0.7500 0.1923
0.7500 0.7500 0.3454
0.7500 0.7500 0.6546
0.7500 0.7500 0.8077
0.9203 0.0797 0.4309
0.9203 0.4203 0.5691
```

Values from the calculation:
E_form: -0.285 eV per atom